This record from Alexandria describes a geometry-optimized YNi2P2 structure. The functional is GGA-PBE.

Computed properties:
- Energy of formation: -1.0094 eV/atom
- Space-group type: I4/mmm (139)
- ρ: 6.29 Mg/m³

Cell: 5.439 5.439 5.439 Å, 138.14 138.14 60.69°
Fractional coordinates of all 5 atoms:
Y1 0.000 0.000 0.000
Ni1 0.250 0.750 0.500
Ni2 0.750 0.250 0.500
P1 0.376 0.376 0.000
P2 0.624 0.624 0.000